Record 1
The following is a PBE calculation of an optimized crystal structure of CdRh2Pb2, from the Alexandria database.

Unit cell a=6.7419 b=6.7419 c=6.7419 alpha=142.05 beta=142.05 gamma=54.76
Sites, in units of the cell vectors:
Cd1 0.0000 0.0000 0.0000
Rh1 0.3941 0.3941 0.0000
Rh2 0.6059 0.6059 0.0000
Pb1 0.2500 0.7500 0.5000
Pb2 0.7500 0.2500 0.5000

Properties
Space-group type: I4/mmm
Calculated formation energy, eV per atom: 0.2624
Total moment, μB/f.u.: 0.00
E_tot, eV/cell: -21.7
V, A^3/atom: 23.02
ρ, g/cm3: 10.57



Record 2
The following is a PBE calculation of an optimized crystal structure of BeVNi4, from the Alexandria database.

Unit cell a=2.5247 b=2.5247 c=9.9225 alpha=90.00 beta=90.00 gamma=90.00
Sites, in units of the cell vectors:
Be1 0.0000 0.0000 0.0000
V1 0.5000 0.5000 0.5000
Ni1 0.0000 0.0000 0.3163
Ni2 0.0000 0.0000 0.6837
Ni3 0.5000 0.5000 0.1375
Ni4 0.5000 0.5000 0.8625

Properties
Space-group type: P4/mmm
Calculated formation energy, eV per atom: -0.2240
Total moment, μB/f.u.: 0.00
E_tot, eV/cell: -37.3
E above lowest polymorph, kJ/mol of formula units: 0
V, A^3/atom: 10.54
ρ, g/cm3: 7.74